Here is a crystal of CrSiSb2 relaxed with PBEsol from the Alexandria database. Energies are from meta-GGA SCAN.

Lattice parameters (Å, degrees): 6.175 7.449 3.486 90.00 90.00 90.00
Positions (direct):
Cr 0.000 0.000 0.000
Cr 0.500 0.500 0.000
Si 0.000 0.500 0.000
Si 0.500 0.000 0.000
Sb 0.250 0.250 0.500
Sb 0.250 0.750 0.500
Sb 0.750 0.250 0.500
Sb 0.750 0.750 0.500

Calculated values
electronic total energy = -202.47 eV/cell
formation energy (no corrections) = 0.422 eV/atom
total magnetic moment = 3.83 μB per formula unit
symmetry = Cmmm (65)

=====

Here is a crystal of CrSi4Sb relaxed with PBEsol from the Alexandria database. Energies are from meta-GGA SCAN.

Lattice parameters (Å, degrees): 5.143 5.143 5.143 60.00 60.00 60.00
Positions (direct):
Cr 0.000 0.000 0.000
Si 0.374 0.374 0.374
Si 0.374 0.374 0.877
Si 0.374 0.877 0.374
Si 0.877 0.374 0.374
Sb 0.750 0.750 0.750

Calculated values
electronic total energy = -92.12 eV/cell
formation energy (no corrections) = 0.598 eV/atom
total magnetic moment = 3.57 μB per formula unit
symmetry = F-43m (216)

=====

Here is a crystal of CrSi2Sb relaxed with PBEsol from the Alexandria database. Energies are from meta-GGA SCAN.

Lattice parameters (Å, degrees): 7.890 3.252 5.208 90.00 98.67 90.00
Positions (direct):
Cr 0.000 0.000 0.000
Cr 0.500 0.500 0.000
Si 0.223 0.500 0.156
Si 0.277 0.000 0.844
Si 0.723 0.000 0.156
Si 0.777 0.500 0.844
Sb 0.000 0.500 0.500
Sb 0.500 0.000 0.500

Calculated values
electronic total energy = -148.22 eV/cell
formation energy (no corrections) = 0.392 eV/atom
total magnetic moment = 0.67 μB per formula unit
symmetry = C2/m (12)

=====

Repeat the third record exactly.
Here is a crystal of CrSi2Sb relaxed with PBEsol from the Alexandria database. Energies are from meta-GGA SCAN.

Lattice parameters (Å, degrees): 7.890 3.252 5.208 90.00 98.67 90.00
Positions (direct):
Cr 0.000 0.000 0.000
Cr 0.500 0.500 0.000
Si 0.223 0.500 0.156
Si 0.277 0.000 0.844
Si 0.723 0.000 0.156
Si 0.777 0.500 0.844
Sb 0.000 0.500 0.500
Sb 0.500 0.000 0.500

Calculated values
electronic total energy = -148.22 eV/cell
formation energy (no corrections) = 0.392 eV/atom
total magnetic moment = 0.67 μB per formula unit
symmetry = C2/m (12)